(P)
Entry from Alexandria via LeMat-Bulk: a relaxed SrTc2Sn2 crystal (PBE).

Cell and atoms, written as POSCAR:
```
SrTc2Sn2
1.0
4.871 0.000 0.000
0.000 4.871 0.000
0.000 0.000 9.936
Sr Tc Sn
2 4 4
direct
0.000 0.000 0.000
0.500 0.500 0.500
0.000 0.000 0.389
0.000 0.000 0.611
0.500 0.500 0.111
0.500 0.500 0.889
0.000 0.500 0.250
0.000 0.500 0.750
0.500 0.000 0.250
0.500 0.000 0.750
```

Properties
Fermi-level density of states: 4.2 states/eV/f.u.
space-group type: I4/mmm

=====

(Q)
Entry from Alexandria via LeMat-Bulk: a relaxed SrTc2Sn2 crystal (PBE).

Cell and atoms, written as POSCAR:
```
SrTc2Sn2
1.0
8.083 0.000 0.000
0.000 8.083 0.000
0.000 0.000 3.152
Sr Tc Sn
2 4 4
direct
0.000 0.000 0.000
0.500 0.500 0.000
0.134 0.366 0.000
0.366 0.866 0.000
0.634 0.134 0.000
0.866 0.634 0.000
0.156 0.656 0.500
0.344 0.156 0.500
0.656 0.844 0.500
0.844 0.344 0.500
```

Properties
Fermi-level density of states: 3.4 states/eV/f.u.
space-group type: P4/mbm

=====

(R)
Entry from Alexandria via LeMat-Bulk: a relaxed SrTc2Sn2 crystal (PBE).

Cell and atoms, written as POSCAR:
```
SrTc2Sn2
1.0
4.341 0.000 0.000
0.000 4.341 0.000
0.000 0.000 12.393
Sr Tc Sn
2 4 4
direct
0.000 0.000 0.000
0.500 0.500 0.500
0.000 0.500 0.250
0.000 0.500 0.750
0.500 0.000 0.250
0.500 0.000 0.750
0.000 0.000 0.379
0.000 0.000 0.621
0.500 0.500 0.121
0.500 0.500 0.879
```

Properties
Fermi-level density of states: 4.3 states/eV/f.u.
space-group type: I4/mmm

=====

Bottom line: (P), by a margin of 71 meV/atom.

=====

(P)
Entry from Alexandria via LeMat-Bulk: a relaxed SrTc3Sn crystal (PBE).

Cell and atoms, written as POSCAR:
```
SrTc3Sn
1.0
4.919 0.000 0.000
0.000 4.919 0.000
0.000 0.000 4.919
Sr Tc Sn
1 3 1
direct
0.000 0.000 0.000
0.000 0.000 0.500
0.000 0.500 0.000
0.500 0.000 0.000
0.500 0.500 0.500
```

Properties
Fermi-level density of states: 6.6 states/eV/f.u.
space-group type: Pm-3m

=====

(Q)
Entry from Alexandria via LeMat-Bulk: a relaxed SrTc3Sn crystal (PBE).

Cell and atoms, written as POSCAR:
```
SrTc3Sn
1.0
5.037 0.000 0.000
0.000 5.037 0.000
0.000 0.000 5.037
Sr Tc Sn
1 3 1
direct
0.000 0.000 0.000
0.000 0.500 0.500
0.500 0.000 0.500
0.500 0.500 0.000
0.500 0.500 0.500
```

Properties
Fermi-level density of states: 6.7 states/eV/f.u.
space-group type: Pm-3m

=====

Bottom line: (Q), by a margin of 1126 meV/atom.

=====

(P)
Entry from Alexandria via LeMat-Bulk: a relaxed Sr2SnTe crystal (PBE).

Cell and atoms, written as POSCAR:
```
Sr2SnTe
1.0
8.877 0.000 0.000
0.000 8.877 0.000
0.000 0.000 7.713
Sr Sn Te
8 4 4
direct
0.241 0.750 0.125
0.250 0.241 0.875
0.250 0.259 0.375
0.259 0.750 0.625
0.741 0.250 0.625
0.750 0.741 0.375
0.750 0.759 0.875
0.759 0.250 0.125
0.000 0.000 0.500
0.000 0.500 0.750
0.500 0.000 0.250
0.500 0.500 0.000
0.000 0.000 0.000
0.000 0.500 0.250
0.500 0.000 0.750
0.500 0.500 0.500
```

Properties
Fermi-level density of states: 1.5 states/eV/f.u.
space-group type: I-42d

=====

(Q)
Entry from Alexandria via LeMat-Bulk: a relaxed Sr2SnTe crystal (PBE).

Cell and atoms, written as POSCAR:
```
Sr2SnTe
1.0
8.185 0.000 0.000
0.000 8.185 0.000
0.000 0.000 8.185
Sr Sn Te
8 4 4
direct
0.250 0.250 0.250
0.250 0.250 0.750
0.250 0.750 0.250
0.250 0.750 0.750
0.750 0.250 0.250
0.750 0.250 0.750
0.750 0.750 0.250
0.750 0.750 0.750
0.000 0.000 0.000
0.000 0.500 0.500
0.500 0.000 0.500
0.500 0.500 0.000
0.000 0.000 0.500
0.000 0.500 0.000
0.500 0.000 0.000
0.500 0.500 0.500
```

Properties
Fermi-level density of states: 4.3 states/eV/f.u.
space-group type: Fm-3m

=====

Bottom line: (Q), by a margin of 59 meV/atom.

=====

(P)
Entry from Alexandria via LeMat-Bulk: a relaxed SrTi2Sn crystal (PBE).

Cell and atoms, written as POSCAR:
```
SrTi2Sn
1.0
7.065 0.000 0.000
0.000 7.065 0.000
0.000 0.000 7.065
Sr Ti Sn
4 8 4
direct
0.000 0.000 0.000
0.000 0.500 0.500
0.500 0.000 0.500
0.500 0.500 0.000
0.250 0.250 0.250
0.250 0.250 0.750
0.250 0.750 0.250
0.250 0.750 0.750
0.750 0.250 0.250
0.750 0.250 0.750
0.750 0.750 0.250
0.750 0.750 0.750
0.000 0.000 0.500
0.000 0.500 0.000
0.500 0.000 0.000
0.500 0.500 0.500
```

Properties
Fermi-level density of states: 1.5 states/eV/f.u.
space-group type: Fm-3m

=====

(Q)
Entry from Alexandria via LeMat-Bulk: a relaxed SrTi2Sn crystal (PBE).

Cell and atoms, written as POSCAR:
```
SrTi2Sn
1.0
4.767 0.000 0.000
0.000 4.767 0.000
0.000 0.000 20.562
Sr Ti Sn
4 8 4
direct
0.000 0.250 0.375
0.000 0.750 0.625
0.500 0.250 0.125
0.500 0.750 0.875
0.000 0.000 0.000
0.000 0.500 0.000
0.250 0.250 0.750
0.250 0.750 0.250
0.500 0.000 0.500
0.500 0.500 0.500
0.750 0.250 0.750
0.750 0.750 0.250
0.000 0.250 0.875
0.000 0.750 0.125
0.500 0.250 0.625
0.500 0.750 0.375
```

Properties
Fermi-level density of states: 5.1 states/eV/f.u.
space-group type: I4_1/amd

=====

Bottom line: (P), by a margin of 39 meV/atom.

=====

(P)
Entry from Alexandria via LeMat-Bulk: a relaxed Sr3TlSn crystal (PBE).

Cell and atoms, written as POSCAR:
```
Sr3TlSn
1.0
10.006 0.000 0.000
0.000 8.869 0.000
-5.082 0.000 8.714
Sr Tl Sn
12 4 4
direct
0.001 0.000 0.295
0.001 0.500 0.795
0.264 0.127 0.131
0.264 0.373 0.631
0.399 0.749 0.950
0.399 0.751 0.450
0.601 0.249 0.550
0.601 0.251 0.050
0.736 0.627 0.369
0.736 0.873 0.869
0.999 0.000 0.705
0.999 0.500 0.205
0.348 0.011 0.675
0.348 0.489 0.175
0.652 0.511 0.825
0.652 0.989 0.325
0.124 0.718 0.562
0.124 0.782 0.062
0.876 0.218 0.938
0.876 0.282 0.438
```

Properties
Fermi-level density of states: 2.7 states/eV/f.u.
space-group type: P2_1/c

=====

(Q)
Entry from Alexandria via LeMat-Bulk: a relaxed Sr3TlSn crystal (PBE).

Cell and atoms, written as POSCAR:
```
Sr3TlSn
1.0
6.351 0.000 0.000
0.000 6.351 0.000
0.000 0.000 6.351
Sr Tl Sn
3 1 1
direct
0.000 0.000 0.500
0.000 0.500 0.000
0.500 0.000 0.000
0.500 0.500 0.500
0.000 0.000 0.000
```

Properties
Fermi-level density of states: 5.8 states/eV/f.u.
space-group type: Pm-3m

=====

Bottom line: (P), by a margin of 302 meV/atom.

=====

(P)
Entry from Alexandria via LeMat-Bulk: a relaxed SrTl2Sn2 crystal (PBE).

Cell and atoms, written as POSCAR:
```
SrTl2Sn2
1.0
8.930 0.000 0.000
0.000 8.930 0.000
0.000 0.000 3.881
Sr Tl Sn
2 4 4
direct
0.000 0.000 0.000
0.500 0.500 0.000
0.130 0.370 0.000
0.370 0.870 0.000
0.630 0.130 0.000
0.870 0.630 0.000
0.166 0.666 0.500
0.334 0.166 0.500
0.666 0.834 0.500
0.834 0.334 0.500
```

Properties
Fermi-level density of states: 3.0 states/eV/f.u.
space-group type: P4/mbm

=====

(Q)
Entry from Alexandria via LeMat-Bulk: a relaxed SrTl2Sn2 crystal (PBE).

Cell and atoms, written as POSCAR:
```
SrTl2Sn2
1.0
4.827 0.000 0.000
0.000 4.827 0.000
0.000 0.000 14.315
Sr Tl Sn
2 4 4
direct
0.000 0.000 0.000
0.500 0.500 0.500
0.000 0.500 0.250
0.000 0.500 0.750
0.500 0.000 0.250
0.500 0.000 0.750
0.000 0.000 0.399
0.000 0.000 0.601
0.500 0.500 0.101
0.500 0.500 0.899
```

Properties
Fermi-level density of states: 2.8 states/eV/f.u.
space-group type: I4/mmm

=====

(R)
Entry from Alexandria via LeMat-Bulk: a relaxed SrTl2Sn2 crystal (PBE).

Cell and atoms, written as POSCAR:
```
SrTl2Sn2
1.0
8.835 0.000 0.000
0.000 8.835 0.000
0.000 0.000 4.048
Sr Tl Sn
2 4 4
direct
0.000 0.000 0.000
0.500 0.500 0.000
0.169 0.331 0.500
0.331 0.831 0.500
0.669 0.169 0.500
0.831 0.669 0.500
0.123 0.623 0.000
0.377 0.123 0.000
0.623 0.877 0.000
0.877 0.377 0.000
```

Properties
Fermi-level density of states: 2.9 states/eV/f.u.
space-group type: P4/mbm

=====

Bottom line: (Q), by a margin of 37 meV/atom.

=====

(P)
Entry from Alexandria via LeMat-Bulk: a relaxed SrTlSn2 crystal (PBE).

Cell and atoms, written as POSCAR:
```
SrTlSn2
1.0
8.010 0.000 0.000
0.000 6.959 0.000
0.000 0.000 8.988
Sr Tl Sn
4 4 8
direct
0.006 0.250 0.189
0.494 0.750 0.689
0.506 0.250 0.311
0.994 0.750 0.811
0.055 0.250 0.803
0.445 0.750 0.303
0.555 0.250 0.697
0.945 0.750 0.197
0.183 0.029 0.514
0.183 0.471 0.514
0.317 0.529 0.014
0.317 0.971 0.014
0.683 0.029 0.986
0.683 0.471 0.986
0.817 0.529 0.486
0.817 0.971 0.486
```

Properties
Fermi-level density of states: 1.9 states/eV/f.u.
space-group type: Pnma

=====

(Q)
Entry from Alexandria via LeMat-Bulk: a relaxed SrTlSn2 crystal (PBE).

Cell and atoms, written as POSCAR:
```
SrTlSn2
1.0
4.419 0.000 0.000
-2.209 3.827 0.000
0.000 0.000 24.459
Sr Tl Sn
3 3 6
direct
0.000 0.000 0.000
0.333 0.667 0.667
0.667 0.333 0.333
0.000 0.000 0.500
0.333 0.667 0.167
0.667 0.333 0.833
0.000 0.000 0.235
0.000 0.000 0.765
0.333 0.667 0.431
0.333 0.667 0.902
0.667 0.333 0.098
0.667 0.333 0.569
```

Properties
Fermi-level density of states: 3.0 states/eV/f.u.
space-group type: R-3m

=====

Bottom line: (P), by a margin of 350 meV/atom.

=====

(P)
Entry from Alexandria via LeMat-Bulk: a relaxed SrTlSn2 crystal (PBE).

Cell and atoms, written as POSCAR:
```
SrTlSn2
1.0
4.154 0.000 0.000
0.000 4.154 0.000
0.000 0.000 7.170
Sr Tl Sn
1 1 2
direct
0.000 0.000 0.000
0.000 0.000 0.500
0.500 0.500 0.288
0.500 0.500 0.712
```

Properties
Fermi-level density of states: 2.4 states/eV/f.u.
space-group type: P4/mmm

=====

(Q)
Entry from Alexandria via LeMat-Bulk: a relaxed SrTlSn2 crystal (PBE).

Cell and atoms, written as POSCAR:
```
SrTlSn2
1.0
4.879 0.000 0.000
0.000 4.879 0.000
0.000 0.000 4.993
Sr Tl Sn
1 1 2
direct
0.000 0.000 0.000
0.500 0.500 0.000
0.000 0.500 0.500
0.500 0.000 0.500
```

Properties
Fermi-level density of states: 2.7 states/eV/f.u.
space-group type: P4/mmm

=====

(R)
Entry from Alexandria via LeMat-Bulk: a relaxed SrTlSn2 crystal (PBE).

Cell and atoms, written as POSCAR:
```
SrTlSn2
1.0
7.943 0.000 0.000
0.000 7.943 0.000
0.000 0.000 7.943
Sr Tl Sn
4 4 8
direct
0.000 0.000 0.000
0.000 0.500 0.500
0.500 0.000 0.500
0.500 0.500 0.000
0.000 0.000 0.500
0.000 0.500 0.000
0.500 0.000 0.000
0.500 0.500 0.500
0.250 0.250 0.250
0.250 0.250 0.750
0.250 0.750 0.250
0.250 0.750 0.750
0.750 0.250 0.250
0.750 0.250 0.750
0.750 0.750 0.250
0.750 0.750 0.750
```

Properties
Fermi-level density of states: 3.5 states/eV/f.u.
space-group type: Fm-3m

=====

Bottom line: (Q), by a margin of 83 meV/atom.

=====

(P)
Entry from Alexandria via LeMat-Bulk: a relaxed SrTl3Sn crystal (PBE).

Cell and atoms, written as POSCAR:
```
SrTl3Sn
1.0
7.834 0.000 0.000
-3.917 6.785 0.000
0.000 0.000 6.477
Sr Tl Sn
2 6 2
direct
0.333 0.667 0.250
0.667 0.333 0.750
0.196 0.392 0.750
0.196 0.804 0.750
0.392 0.196 0.250
0.608 0.804 0.750
0.804 0.196 0.250
0.804 0.608 0.250
0.000 0.000 0.000
0.000 0.000 0.500
```

Properties
Fermi-level density of states: 3.1 states/eV/f.u.
space-group type: P6_3/mmc

=====

(Q)
Entry from Alexandria via LeMat-Bulk: a relaxed SrTl3Sn crystal (PBE).

Cell and atoms, written as POSCAR:
```
SrTl3Sn
1.0
6.093 0.000 0.000
0.000 6.093 0.000
0.000 0.000 6.093
Sr Tl Sn
1 3 1
direct
0.000 0.000 0.000
0.000 0.000 0.500
0.000 0.500 0.000
0.500 0.000 0.000
0.500 0.500 0.500
```

Properties
Fermi-level density of states: 3.2 states/eV/f.u.
space-group type: Pm-3m

=====

Bottom line: (P), by a margin of 684 meV/atom.

=====

(P)
Entry from Alexandria via LeMat-Bulk: a relaxed Sr8Tl2Sn crystal (PBE).

Cell and atoms, written as POSCAR:
```
Sr8Tl2Sn
1.0
10.144 -2.905 0.000
10.144 2.905 0.000
-2.808 0.000 7.698
Sr Tl Sn
8 2 1
direct
0.028 0.028 0.286
0.201 0.201 0.803
0.333 0.333 0.543
0.403 0.403 0.054
0.597 0.597 0.946
0.667 0.667 0.457
0.799 0.799 0.197
0.972 0.972 0.714
0.181 0.181 0.195
0.819 0.819 0.805
0.500 0.500 0.500
```

Properties
Fermi-level density of states: 8.5 states/eV/f.u.
space-group type: C2/m

=====

(Q)
Entry from Alexandria via LeMat-Bulk: a relaxed Sr8Tl2Sn crystal (PBE).

Cell and atoms, written as POSCAR:
```
Sr8Tl2Sn
1.0
-2.838 4.593 8.463
2.838 -4.593 8.463
2.838 4.593 -8.463
Sr Tl Sn
8 2 1
direct
0.120 0.340 0.779
0.144 0.144 0.000
0.308 0.000 0.308
0.439 0.660 0.779
0.561 0.340 0.221
0.692 0.000 0.692
0.856 0.856 0.000
0.880 0.660 0.221
0.312 0.812 0.500
0.688 0.188 0.500
0.000 0.500 0.500
```

Properties
Fermi-level density of states: 7.4 states/eV/f.u.
space-group type: Immm

=====

Bottom line: (P), by a margin of 64 meV/atom.